## PmThTl (PBE-GGA)

Data for crystalline PmThTl at its relaxed geometry.

Lattice parameters (Å, degrees): 8.7399 6.7953 6.4414 90.00 103.87 90.00
Last column: nearest neighbours and their distance in Å.
Space group P2_1/c (No. 14)
One atom of each set of equivalent atoms:
1 Pm 0.0109 0.1201 0.2388  3 Tl 3.29-3.43, 5 Pm 3.41-3.67, 1 Th 3.65
2 Th 0.3562 0.6358 0.0868  5 Tl 3.29-3.49, 3 Th 3.51-3.58, 1 Pm 3.65
3 Tl 0.3184 0.1301 0.0289  3 Pm 3.29-3.43, 5 Th 3.29-3.49, 2 Tl 3.61

## Properties
DOS at the Fermi energy	14.97	states/eV/cell
energy relative to the elements	-0.065	eV/atom
offset from the most stable computed form	0.0968	eV per atom